The following is a PBE+U calculation of a relaxed structure of CaCrP2O8, from Alexandria.

Cell lengths 4.8699, 4.8699, 6.9719 Å; angles 90.00, 90.00, 120.00 degrees
Space group P-3 (No. 147)
Symmetry-distinct sites (fractional):
1 Ca 0.0000 0.0000 0.0000 (multiplicity 1)
2 Cr 0.0000 0.0000 0.5000 (multiplicity 1)
3 P 0.3333 0.6667 0.7417 (multiplicity 2)
4 O 0.0640 0.3383 0.6708 (multiplicity 6)
5 O 0.3333 0.6667 0.9600 (multiplicity 2)

Results
The total energy is -7.233 eV per atom. The value obtained for the spin magnetization is 1.933 μB per formula unit.